Record 1
VASP calculation (PBE) on a relaxed Pr4IN2Cl crystal. Values from VASP.

Cell and atoms, written as Quantum ESPRESSO input:
```
&SYSTEM
  ibrav = 0, nat = 8, ntyp = 4
/
ATOMIC_SPECIES
Pr 140.91 Pr.upf
I 126.90 I.upf
N 14.01 N.upf
Cl 35.45 Cl.upf
CELL_PARAMETERS angstrom
3.7668 0.0000 0.0000
-1.8834 3.2621 0.0000
0.0000 0.0000 14.7578
ATOMIC_POSITIONS angstrom
Pr 0.0000 0.0000 2.1893
Pr 0.0000 0.0000 12.5684
Pr 0.0000 2.1747 4.8584
Pr 0.0000 2.1747 9.8994
I 0.0000 0.0000 7.3789
N 1.8834 1.0874 3.4531
N 1.8834 1.0874 11.3047
Cl 0.0000 2.1747 0.0000
```

Calculated values
Total moment ... 0.003 Bohr magnetons per cell
Uncorrected energy ... -6.26 eV/atom

---

Record 2
VASP calculation (PBE) on a relaxed GdCo3 crystal. Values from VASP.

Cell and atoms, written as Quantum ESPRESSO input:
```
&SYSTEM
  ibrav = 0, nat = 4, ntyp = 2
/
ATOMIC_SPECIES
Gd 157.25 Gd.upf
Co 58.93 Co.upf
CELL_PARAMETERS angstrom
-1.9434 1.9434 3.8664
1.9434 -1.9434 3.8664
1.9434 1.9434 -3.8664
ATOMIC_POSITIONS angstrom
Gd 0.0000 0.0000 0.0000
Co 1.9434 0.0000 1.9332
Co 0.0000 0.0000 3.8664
Co 0.0000 1.9434 1.9332
```

Calculated values
Total moment ... 3.797 Bohr magnetons per cell
Relative energy among the computed polymorphs ... 326 meV/atom

---

Record 3
VASP calculation (PBE) on a relaxed Sm3Ni7Pt2 crystal. Values from VASP.

Cell and atoms, written as Quantum ESPRESSO input:
```
&SYSTEM
  ibrav = 0, nat = 12, ntyp = 3
/
ATOMIC_SPECIES
Sm 150.36 Sm.upf
Ni 58.69 Ni.upf
Pt 195.08 Pt.upf
CELL_PARAMETERS angstrom
2.5561 1.4758 8.3662
-2.5561 1.4758 8.3662
0.0000 -2.9516 8.3662
ATOMIC_POSITIONS angstrom
Sm 0.0000 0.0000 0.0000
Sm 0.0000 0.0000 3.5044
Sm 0.0000 0.0000 21.5942
Ni -1.2770 -0.7373 10.5145
Ni 0.0000 -1.4745 14.5841
Ni -1.2770 0.7373 14.5841
Ni 0.0000 0.0000 12.5493
Ni 1.2770 -0.7373 10.5145
Ni 0.0000 1.4745 10.5145
Ni 1.2770 0.7373 14.5841
Pt 0.0000 0.0000 8.3441
Pt 0.0000 0.0000 16.7545
```

Calculated values
Total moment ... 0.847 Bohr magnetons per cell
Uncorrected energy ... -5.92 eV/atom

---

Record 4
VASP calculation (PBE) on a relaxed Dy2YTmIr4 crystal. Values from VASP.

Cell and atoms, written as Quantum ESPRESSO input:
```
&SYSTEM
  ibrav = 0, nat = 8, ntyp = 4
/
ATOMIC_SPECIES
Dy 162.50 Dy.upf
Y 88.91 Y.upf
Tm 168.93 Tm.upf
Ir 192.22 Ir.upf
CELL_PARAMETERS angstrom
4.8200 0.0000 0.0000
0.0000 4.8200 0.0000
0.0000 0.0000 6.8318
ATOMIC_POSITIONS angstrom
Dy 0.0000 0.0000 0.0000
Dy 2.4100 2.4100 3.4159
Y 0.0000 0.0000 3.4159
Tm 2.4100 2.4100 0.0000
Ir 0.0000 2.4100 1.6863
Ir 0.0000 2.4100 5.1455
Ir 2.4100 0.0000 1.6863
Ir 2.4100 0.0000 5.1455
```

Calculated values
Total moment ... 0.011 Bohr magnetons per cell
Uncorrected energy ... -7.78 eV/atom

---

Q: Which formula does entry 2 have?
A: GdCo3